Ti2Mo2W3 | PBE-GGA | optimized geometry

Computed properties:
As for the raw total energy: -11.04 eV per atom. The value obtained for the energy relative to the elements is -0.14 eV/atom. As for the magnetic moment: 0.000 μB per atom. The volume comes out at 15.94 Å³ per atom. As for the distance to the lowest polymorph of the same formula: 0 meV/atom.

a = 7.7556 Å, b = 4.4840 Å, c = 6.9217 Å
α = 90.00°, β = 111.97°, γ = 90.00°
Space group C2/m (No. 12)
Inequivalent atoms, fractional coordinates:
1 Ti 0.0741 0.0000 0.2222 x4
2 Mo 0.2156 0.0000 0.6466 x4
3 W 0.0000 0.5000 0.5000 x2
4 W 0.1457 0.5000 0.9372 x4